(1)
# La3CoSn PBE relaxed
# Spin magnetization (Bohr magnetons per cell): 0.00
# E above lowest polymorph (meV per atom): 58
# Energy of formation (meV per atom): -390
# N(E_F) (states/eV per atom): 0.7635
# Energy (eV per atom): -5.568
# Calculated volume (Å³ per cell): 282.50
data_La3CoSn
_cell_length_a 6.1345
_cell_length_b 6.4776
_cell_length_c 7.2345
_cell_angle_alpha 97.58
_cell_angle_beta 90.68
_cell_angle_gamma 97.34
_symmetry_space_group_name_H-M 'P 1'
_symmetry_Int_Tables_number 1
_symmetry_space_group_name_Hall 'P 1'
loop_
_atom_site_label
_atom_site_type_symbol
_atom_site_fract_x
_atom_site_fract_y
_atom_site_fract_z
La1 La 0.0000 0.0000 0.0000
La2 La 0.0134 0.0910 0.5390
La3 La 0.2551 0.6394 0.4453
La4 La 0.2944 0.5264 0.9524
La5 La 0.5268 0.1501 0.2532
La6 La 0.7535 0.5364 0.6965
Co1 Co 0.0281 0.3359 0.2444
Co2 Co 0.7867 0.3630 0.9563
Sn1 Sn 0.5051 0.0456 0.7687
Sn2 Sn 0.7508 0.6471 0.2479

(2)
# CeDySc3 PBE relaxed
# Spin magnetization (Bohr magnetons per cell): 5.89
# Energy of formation (meV per atom): 105
# N(E_F) (states/eV per atom): 1.8931
# Energy (eV per atom): -5.801
# Calculated volume (Å³ per cell): 1070.80
data_CeDySc3
_cell_length_a 19.2819
_cell_length_b 9.1257
_cell_length_c 6.0956
_cell_angle_alpha 90.00
_cell_angle_beta 93.31
_cell_angle_gamma 90.00
_symmetry_space_group_name_H-M 'C 1 2/c 1'
_symmetry_Int_Tables_number 15
_symmetry_space_group_name_Hall '-C 2yc'
loop_
_atom_site_label
_atom_site_type_symbol
_atom_site_fract_x
_atom_site_fract_y
_atom_site_fract_z
Ce1 Ce 0.2266 0.0694 0.1316
Dy1 Dy 0.0000 0.2473 0.2500
Dy2 Dy 0.0000 0.3853 0.7500
Sc1 Sc 0.0755 0.0551 0.8898
Sc2 Sc 0.1353 0.4044 0.0879
Sc3 Sc 0.1612 0.2495 0.5640